This record from the Alexandria database describes a relaxed Bi2MoO crystal. The functional is PBE+U.

a = 7.643 Å, b = 7.643 Å, c = 6.361 Å
α = 53.07°, β = 53.07°, γ = 90.00°
Site moments in Bohr magnetons follow the coordinates.
Element x y z (fractional)
Bi (0.375, 0.472, 0.750)  -0.14
Bi (0.528, 0.125, 0.250)  -0.14
Bi (0.875, 0.778, 0.750)  -0.15
Bi (0.222, 0.625, 0.250)  -0.14
O (0.250, 0.750, 0.500)  0.04
O (0.500, 0.500, 0.000)  0.05
Mo (0.000, 0.000, 0.000)  3.85
Mo (0.750, 0.250, 0.500)  3.85

Output
Calculated density in g/cm³: 9.0
Total magnetization in μB/f.u.: 4.2
Uncorrected energy in eV/atom: -4.62
D(E_F) in states/eV/cell: 3.6
Space group: I-42d, No. 122